16
Lattice="7.3923 0.0000 0.0000 0.0000 7.3923 0.0000 0.0000 0.0000 7.3923" Properties=species:S:1:pos:R:3 comment="HoLuAgPb | the Alexandria database | PBE-GGA | optimized geometry" dft_energy_ha_per_atom=-0.15672 formation_enthalpy_0k_ev_per_atom=-0.350 magnetic_moment_mub_per_cell=1.745 sg=F-43m pbc="T T T"
Ho 0.0000 0.0000 0.0000
Ho 0.0000 3.6962 3.6962
Ho 3.6962 0.0000 3.6962
Ho 3.6962 3.6962 0.0000
Lu 0.0000 0.0000 3.6962
Lu 0.0000 3.6962 0.0000
Lu 3.6962 0.0000 0.0000
Lu 3.6962 3.6962 3.6962
Ag 1.8481 1.8481 1.8481
Ag 1.8481 5.5443 5.5443
Ag 5.5443 1.8481 5.5443
Ag 5.5443 5.5443 1.8481
Pb 1.8481 1.8481 5.5443
Pb 1.8481 5.5443 1.8481
Pb 5.5443 1.8481 1.8481
Pb 5.5443 5.5443 5.5443

---

16
Lattice="7.0514 0.0000 0.0000 0.0000 7.0514 0.0000 0.0000 0.0000 7.0514" Properties=species:S:1:pos:R:3 comment="HoLuAgPd | the Alexandria database | PBE-GGA | optimized geometry" dft_energy_ha_per_atom=-0.18024 formation_enthalpy_0k_ev_per_atom=-0.619 magnetic_moment_mub_per_cell=0.000 sg=F-43m pbc="T T T"
Ho 0.0000 0.0000 0.0000
Ho 0.0000 3.5257 3.5257
Ho 3.5257 0.0000 3.5257
Ho 3.5257 3.5257 0.0000
Lu 0.0000 0.0000 3.5257
Lu 0.0000 3.5257 0.0000
Lu 3.5257 0.0000 0.0000
Lu 3.5257 3.5257 3.5257
Ag 1.7628 1.7628 1.7628
Ag 1.7628 5.2885 5.2885
Ag 5.2885 1.7628 5.2885
Ag 5.2885 5.2885 1.7628
Pd 1.7628 1.7628 5.2885
Pd 1.7628 5.2885 1.7628
Pd 5.2885 1.7628 1.7628
Pd 5.2885 5.2885 5.2885